The following is a GGA-PBE calculation of CaPm2Cd3Hg6 after structural relaxation, from the Alexandria database.

**Energy of formation**: -4.7 kcal/mol of atoms
**Symmetry**: P4/mmm
**Volume**: 26.49 A^3/atom
**M_tot**: 0.00 μB/atom
**Fermi-level density of states**: 7.690 states/eV per cell
**Mass density**: 9.77 Mg/m³
**Calculated total energy**: -1.54 eV/atom

Lattice parameters (Å, degrees): 4.372 4.372 16.629 90.00 90.00 90.00
Sites, in units of the cell vectors:
Ca 0.000 0.000 0.000
Pm 0.000 0.000 0.384
Pm 0.000 0.000 0.616
Cd 0.500 0.500 0.083
Cd 0.500 0.500 0.500
Cd 0.500 0.500 0.917
Hg 0.000 0.500 0.202
Hg 0.000 0.500 0.798
Hg 0.500 0.000 0.202
Hg 0.500 0.000 0.798
Hg 0.500 0.500 0.328
Hg 0.500 0.500 0.672

---

The following is a GGA-PBE calculation of Ca2PrCdHg4 after structural relaxation, from the Alexandria database.

**Energy of formation**: -10.3 kcal/mol of atoms
**Symmetry**: R-3m
**Volume**: 26.87 A^3/atom
**M_tot**: 0.00 μB/atom
**Fermi-level density of states**: 4.132 states/eV per cell
**Mass density**: 8.77 Mg/m³
**Calculated total energy**: -1.81 eV/atom

Lattice parameters (Å, degrees): 9.517 9.517 9.517 31.99 31.99 31.99
Sites, in units of the cell vectors:
Ca 0.241 0.241 0.241
Ca 0.759 0.759 0.759
Pr 0.000 0.000 0.000
Cd 0.500 0.500 0.500
Hg 0.122 0.122 0.122
Hg 0.373 0.373 0.373
Hg 0.627 0.627 0.627
Hg 0.878 0.878 0.878

---

The following is a GGA-PBE calculation of CaPrCd2Hg4 after structural relaxation, from the Alexandria database.

**Energy of formation**: -9.0 kcal/mol of atoms
**Symmetry**: R-3m
**Volume**: 24.76 A^3/atom
**M_tot**: 0.00 μB/atom
**Fermi-level density of states**: 3.119 states/eV per cell
**Mass density**: 10.13 Mg/m³
**Calculated total energy**: -1.62 eV/atom

Lattice parameters (Å, degrees): 9.158 9.158 9.158 32.58 32.58 32.58
Sites, in units of the cell vectors:
Ca 0.000 0.000 0.000
Pr 0.500 0.500 0.500
Cd 0.250 0.250 0.250
Cd 0.750 0.750 0.750
Hg 0.121 0.121 0.121
Hg 0.375 0.375 0.375
Hg 0.625 0.625 0.625
Hg 0.879 0.879 0.879

---

The following is a GGA-PBE calculation of CaPrCdHg after structural relaxation, from the Alexandria database.

**Energy of formation**: -10.5 kcal/mol of atoms
**Symmetry**: F-43m
**Volume**: 28.26 A^3/atom
**M_tot**: 0.00 μB/atom
**Fermi-level density of states**: 3.245 states/eV per cell
**Mass density**: 7.26 Mg/m³
**Calculated total energy**: -2.45 eV/atom

Lattice parameters (Å, degrees): 5.427 5.427 5.427 60.00 60.00 60.00
Sites, in units of the cell vectors:
Ca 0.000 0.000 0.000
Pr 0.500 0.500 0.500
Cd 0.250 0.250 0.250
Hg 0.750 0.750 0.750

---

The following is a GGA-PBE calculation of Ca2CdHgPt after structural relaxation, from the Alexandria database.

**Energy of formation**: -10.7 kcal/mol of atoms
**Symmetry**: P4/mmm
**Volume**: 31.58 A^3/atom
**M_tot**: 0.00 μB/atom
**Fermi-level density of states**: 1.157 states/eV per cell
**Mass density**: 6.19 Mg/m³
**Calculated total energy**: -2.71 eV/atom

Lattice parameters (Å, degrees): 5.500 5.500 5.221 90.00 90.00 90.00
Sites, in units of the cell vectors:
Ca 0.000 0.500 0.000
Ca 0.500 0.000 0.000
Cd 0.000 0.000 0.500
Hg 0.500 0.500 0.500
Pt 0.000 0.000 0.000

---

The following is a GGA-PBE calculation of CaPuCd2Hg4 after structural relaxation, from the Alexandria database.

**Energy of formation**: -5.9 kcal/mol of atoms
**Symmetry**: R-3m
**Volume**: 24.51 A^3/atom
**M_tot**: 0.72 μB/atom
**Fermi-level density of states**: 16.362 states/eV per cell
**Mass density**: 11.11 Mg/m³
**Calculated total energy**: -2.68 eV/atom

Lattice parameters (Å, degrees): 8.974 8.974 8.974 33.49 33.49 33.49
Sites, in units of the cell vectors:
Ca 0.000 0.000 0.000
Pu 0.500 0.500 0.500
Cd 0.249 0.249 0.249
Cd 0.751 0.751 0.751
Hg 0.124 0.124 0.124
Hg 0.375 0.375 0.375
Hg 0.625 0.625 0.625
Hg 0.876 0.876 0.876

---

The following is a GGA-PBE calculation of CaPuCdHg after structural relaxation, from the Alexandria database.

**Energy of formation**: -4.5 kcal/mol of atoms
**Symmetry**: F-43m
**Volume**: 27.49 A^3/atom
**M_tot**: 1.52 μB/atom
**Fermi-level density of states**: 11.926 states/eV per cell
**Mass density**: 9.02 Mg/m³
**Calculated total energy**: -4.58 eV/atom

Lattice parameters (Å, degrees): 5.377 5.377 5.377 60.00 60.00 60.00
Sites, in units of the cell vectors:
Ca 0.000 0.000 0.000
Pu 0.500 0.500 0.500
Cd 0.750 0.750 0.750
Hg 0.250 0.250 0.250

---

The following is a GGA-PBE calculation of Rb2CaCd3Hg12 after structural relaxation, from the Alexandria database.

**Energy of formation**: -2.1 kcal/mol of atoms
**Symmetry**: R-3m
**Volume**: 32.59 A^3/atom
**M_tot**: 0.00 μB/atom
**Fermi-level density of states**: 9.013 states/eV per cell
**Mass density**: 8.37 Mg/m³
**Calculated total energy**: -0.66 eV/atom

Lattice parameters (Å, degrees): 11.771 11.771 11.771 39.22 39.22 39.22
Sites, in units of the cell vectors:
Rb 0.150 0.150 0.150
Rb 0.850 0.850 0.850
Ca 0.500 0.500 0.500
Cd 0.000 0.500 0.500
Cd 0.500 0.000 0.500
Cd 0.500 0.500 0.000
Hg 0.081 0.081 0.692
Hg 0.081 0.692 0.081
Hg 0.136 0.574 0.574
Hg 0.308 0.919 0.919
Hg 0.426 0.426 0.864
Hg 0.426 0.864 0.426
Hg 0.574 0.136 0.574
Hg 0.574 0.574 0.136
Hg 0.692 0.081 0.081
Hg 0.864 0.426 0.426
Hg 0.919 0.308 0.919
Hg 0.919 0.919 0.308